Record 1
Entry from the Alexandria database: a relaxed structure of YCoBr (PBE).

a = 4.7762 Å, b = 4.7762 Å, c = 4.7762 Å
α = 60.00°, β = 60.00°, γ = 60.00°
Site moments in Bohr magnetons follow the coordinates.
Sites, in units of the cell vectors:
Co 0.5000 0.5000 0.5000  1.35
Br 0.0000 0.0000 0.0000  0.03
Y 0.7500 0.7500 0.7500  -0.23

Output
VASP energy (eV per formula unit): -14.89
ΔE_f (raw) (meV per atom): 117

Record 2
Entry from the Alexandria database: a relaxed structure of CaBe2Cd (PBE).

a = 3.2659 Å, b = 3.2611 Å, c = 6.7449 Å
α = 90.00°, β = 90.00°, γ = 90.00°
Sites, in units of the cell vectors:
Ca 0.5000 0.5000 0.2500
Be 0.0000 0.0000 0.5619
Be 0.0000 0.0000 0.9381
Cd 0.5000 0.5000 0.7500

Output
Formation enthalpy at 0 K (meV/atom): 417
VASP energy (eV per formula unit): -8.70

Record 3
Entry from the Alexandria database: a relaxed structure of Li2YSnS (PBE).

a = 4.5959 Å, b = 4.5959 Å, c = 5.3721 Å
α = 90.00°, β = 90.00°, γ = 90.00°
Sites, in units of the cell vectors:
Y 0.0000 0.0000 0.5000
Li 0.0000 0.5000 0.0000
Li 0.5000 0.0000 0.0000
S 0.0000 0.0000 0.0000
Sn 0.5000 0.5000 0.5000

Output
VASP energy (eV per formula unit): -22.99
ΔE_f (raw) (meV per atom): -913

Record 4
Entry from the Alexandria database: a relaxed structure of TbPaTlPb (PBE).

a = 5.4073 Å, b = 5.4073 Å, c = 5.4073 Å
α = 60.00°, β = 60.00°, γ = 60.00°
Site moments in Bohr magnetons follow the coordinates.
Sites, in units of the cell vectors:
Pb 0.5000 0.5000 0.5000  0.02
Tb 0.2500 0.2500 0.2500  0.28
Pa 0.7500 0.7500 0.7500  1.25
Tl 0.0000 0.0000 0.0000  0.02

Output
Formation enthalpy at 0 K (meV/atom): 0
VASP energy (eV per formula unit): -20.20

Record 5
Entry from the Alexandria database: a relaxed structure of NaPaPb6 (PBE).

a = 4.7839 Å, b = 4.7839 Å, c = 10.1262 Å
α = 90.00°, β = 90.00°, γ = 90.00°
Site moments in Bohr magnetons follow the coordinates.
Sites, in units of the cell vectors:
Pb 0.5000 0.0000 0.7500  0.01
Pb 0.0000 0.5000 0.2500  0.01
Pb 0.5000 0.5000 0.5000  -0.01
Pb 0.5000 0.5000 0.0000  -0.02
Pb 0.0000 0.5000 0.7500  0.01
Pb 0.5000 0.0000 0.2500  0.01
Na 0.0000 0.0000 0.0000  0.00
Pa 0.0000 0.0000 0.5000  0.84

Output
Formation enthalpy at 0 K (meV/atom): -31
VASP energy (eV per formula unit): -33.31

Record 6
Entry from the Alexandria database: a relaxed structure of KHg2SbPd (PBE).

a = 5.6434 Å, b = 6.6208 Å, c = 5.6434 Å
α = 90.00°, β = 90.00°, γ = 90.00°
Sites, in units of the cell vectors:
Hg 0.5000 0.0000 0.0000
Hg 0.0000 0.0000 0.5000
Sb 0.0000 0.0000 0.0000
Pd 0.5000 0.5000 0.5000
K 0.0000 0.5000 0.0000

Output
VASP energy (eV per formula unit): -8.49
ΔE_f (raw) (meV per atom): 505

Record 7
Entry from the Alexandria database: a relaxed structure of CdFe2P (PBE).

a = 3.3470 Å, b = 3.3470 Å, c = 6.4421 Å
α = 74.97°, β = 74.97°, γ = 59.98°
Site moments in Bohr magnetons follow the coordinates.
Sites, in units of the cell vectors:
Fe 0.4685 0.4685 0.5941  0.88
Fe 0.0315 0.0315 0.9059  0.88
P 0.7500 0.7500 0.7500  -0.06
Cd 0.2500 0.2500 0.2500  -0.02

Output
Formation enthalpy at 0 K (meV/atom): 24
VASP energy (eV per formula unit): -23.15

Record 8
Entry from the Alexandria database: a relaxed structure of LiCdSe (PBE).

a = 4.4857 Å, b = 4.4857 Å, c = 4.4857 Å
α = 60.00°, β = 60.00°, γ = 60.00°
Sites, in units of the cell vectors:
Se 0.0000 0.0000 0.0000
Li 0.7500 0.7500 0.7500
Cd 0.5000 0.5000 0.5000

Output
VASP energy (eV per formula unit): -7.76
ΔE_f (raw) (meV per atom): -481

Record 9
Entry from the Alexandria database: a relaxed structure of NaTlGe (PBE).

a = 4.8109 Å, b = 3.9989 Å, c = 8.7130 Å
α = 90.00°, β = 104.48°, γ = 90.00°
Sites, in units of the cell vectors:
Ge 0.9161 0.9896 0.4313
Ge 0.8500 0.4896 0.2574
Na 0.4641 0.4902 0.5228
Na 0.3016 0.9902 0.1658
Tl 0.6647 0.4910 0.9127
Tl 0.0991 0.9909 0.7759

Output
Formation enthalpy at 0 K (meV/atom): -79
VASP energy (eV per formula unit): -8.54

Record 10
Entry from the Alexandria database: a relaxed structure of Mn2FeN2 (PBE).

a = 3.5295 Å, b = 3.5295 Å, c = 4.5465 Å
α = 67.16°, β = 67.16°, γ = 90.00°
Site moments in Bohr magnetons follow the coordinates.
Sites, in units of the cell vectors:
Fe 0.0000 0.0000 0.0000  2.84
Mn 0.6502 0.6502 0.6996  -0.74
Mn 0.3498 0.3498 0.3004  -0.74
N 0.7500 0.2500 0.5000  0.10
N 0.2500 0.7500 0.5000  0.10

Output
VASP energy (eV per formula unit): -41.97
ΔE_f (raw) (meV per atom): 296

Record 11
Entry from the Alexandria database: a relaxed structure of AsAuBr2Cl (PBE).

a = 6.1273 Å, b = 6.1273 Å, c = 4.5162 Å
α = 90.00°, β = 90.00°, γ = 90.00°
Site moments in Bohr magnetons follow the coordinates.
Sites, in units of the cell vectors:
Cl 0.0000 0.0000 0.0000  0.02
Au 0.5000 0.5000 0.5000  0.00
As 0.0000 0.0000 0.5000  0.14
Br 0.5000 0.0000 0.0000  0.06
Br 0.0000 0.5000 0.0000  0.06

Output
VASP energy (eV per formula unit): -8.44
ΔE_f (raw) (meV per atom): 936

Record 12
Entry from the Alexandria database: a relaxed structure of LiFeNiPt (PBE).

a = 4.1477 Å, b = 4.1477 Å, c = 4.1477 Å
α = 60.00°, β = 60.00°, γ = 60.00°
Site moments in Bohr magnetons follow the coordinates.
Sites, in units of the cell vectors:
Li 0.5000 0.5000 0.5000  -0.01
Fe 0.0000 0.0000 0.0000  3.09
Ni 0.7500 0.7500 0.7500  0.75
Pt 0.2500 0.2500 0.2500  0.39

Output
Formation enthalpy at 0 K (meV/atom): -213
VASP energy (eV per formula unit): -23.05